No. 1
InTe2As: relaxed, GGA-PBE.

Calculated values
**ΔE_f (raw)**: 0.83 eV/f.u.
**Distance to the lowest polymorph of the same formula**: 303.5 meV per atom

Cell and atoms, written as POSCAR:
```
InTe2As
1.0
-1.085 -0.003 3.521
-1.548 -3.348 -0.480
6.580 -3.332 2.025
As In Te
1 1 2
direct
0.500 0.500 0.250
0.500 0.500 0.750
0.000 0.000 0.022
0.000 0.000 0.478
```

=====

No. 2
PmFeBN: relaxed, GGA-PBE.

Calculated values
**ΔE_f (raw)**: -3.62 eV/f.u.

Cell and atoms, written as POSCAR:
```
PmFeBN
1.0
-3.144 0.364 1.615
1.581 -0.371 3.161
1.088 7.764 0.367
Fe N Pm B
2 2 2 2
direct
0.000 0.000 0.500
0.500 0.500 0.500
0.000 0.500 0.149
0.500 0.000 0.851
0.500 0.000 0.169
0.000 0.500 0.831
0.000 0.500 0.338
0.500 0.000 0.662
```

=====

No. 3
Ce2ZrGe3Ir4: relaxed, GGA-PBE.

Calculated values
**E_form**: -0.807 eV/atom

Cell and atoms, written as POSCAR:
```
Ce2ZrGe3Ir4
1.0
4.163 0.000 0.000
0.000 4.163 0.000
0.000 0.000 11.069
Ir Ce Zr Ge
4 2 1 3
direct
0.000 0.000 0.000
0.500 0.500 0.000
0.500 0.000 0.651
0.000 0.500 0.349
0.500 0.000 0.234
0.000 0.500 0.766
0.500 0.500 0.500
0.000 0.000 0.500
0.000 0.500 0.126
0.500 0.000 0.874
```

=====

No. 4
La3Ag2Hg7: relaxed, GGA-PBE.

Calculated values
**E_form**: -0.296 eV/atom

Cell and atoms, written as POSCAR:
```
La3Ag2Hg7
1.0
-0.753 2.437 -4.255
3.314 -3.439 -2.556
-12.719 -3.647 0.161
Hg La Ag
7 3 2
direct
0.000 0.326 0.832
0.000 0.000 0.000
0.500 0.160 0.157
0.500 0.251 0.502
0.500 0.840 0.843
0.500 0.749 0.498
0.000 0.674 0.168
0.000 0.670 0.677
0.000 0.330 0.323
0.500 0.500 0.000
0.500 0.790 0.286
0.500 0.210 0.714
```

=====

No. 5
CeTmPd6: relaxed, GGA-PBE.

Calculated values
**E_form**: -0.897 eV/atom

Cell and atoms, written as POSCAR:
```
CeTmPd6
1.0
-0.137 2.888 2.935
-2.804 -2.216 2.050
6.025 -3.853 4.073
Ce Pd Tm
1 6 1
direct
0.000 0.000 0.500
0.500 0.000 0.250
0.500 0.000 0.750
0.000 0.500 0.250
0.500 0.500 0.000
0.000 0.500 0.750
0.500 0.500 0.500
0.000 0.000 0.000
```

=====

No. 6
K2UMn2S4: relaxed, GGA-PBE.

Calculated values
**ΔE_f (raw)**: -9.21 eV/f.u.

Cell and atoms, written as POSCAR:
```
K2UMn2S4
1.0
-0.175 -2.971 2.585
1.409 -5.008 -5.659
6.395 3.621 1.589
Mn S K U
2 4 2 1
direct
0.673 0.977 0.347
0.327 0.023 0.653
0.517 0.762 0.033
0.800 0.831 0.601
0.483 0.238 0.967
0.200 0.169 0.399
0.867 0.444 0.733
0.133 0.556 0.267
0.000 0.000 0.000
```

=====

No. 7
GdPdAu2: relaxed, GGA-PBE.

Calculated values
**E_form**: -0.653 eV/atom
**Distance to the lowest polymorph of the same formula**: 0.3 meV per atom

Cell and atoms, written as POSCAR:
```
GdPdAu2
1.0
-0.334 4.564 -1.616
-3.429 2.951 1.756
1.229 3.696 2.896
Gd Pd Au
1 1 2
direct
0.500 0.500 0.500
0.000 0.000 0.000
0.250 0.250 0.250
0.750 0.750 0.750
```

=====

No. 8
NdTm2Ge2: relaxed, GGA-PBE.

Calculated values
**E_form**: -0.585 eV/atom

Cell and atoms, written as POSCAR:
```
NdTm2Ge2
1.0
-3.348 2.903 -1.125
-3.351 -4.365 -1.292
-1.415 2.461 10.559
Ge Tm Nd
4 4 2
direct
0.250 0.844 0.620
0.750 0.156 0.380
0.250 0.299 0.975
0.750 0.701 0.025
0.750 0.234 0.124
0.250 0.292 0.543
0.750 0.708 0.457
0.250 0.766 0.876
0.250 0.797 0.221
0.750 0.203 0.779
```

=====

No. 9
CsK2PuF6: relaxed, GGA-PBE.

Calculated values
**ΔE_f (raw)**: -31.07 eV/f.u.

Cell and atoms, written as POSCAR:
```
CsK2PuF6
1.0
6.749 0.008 0.023
3.381 5.859 0.011
3.394 1.955 5.868
F Pu K Cs
6 1 2 1
direct
0.675 0.162 0.787
0.162 0.379 0.788
0.376 0.678 0.775
0.237 0.964 0.221
0.568 0.238 0.227
0.970 0.567 0.230
0.320 0.319 0.043
0.021 0.018 0.943
0.530 0.532 0.408
0.802 0.803 0.594
```

=====

No. 10
KAsAuSe2: relaxed, GGA-PBE.

Calculated values
**ΔE_f (raw)**: 0.29 eV/f.u.
**Distance to the lowest polymorph of the same formula**: 0.0 meV per atom

Cell and atoms, written as POSCAR:
```
KAsAuSe2
1.0
-0.506 -5.279 -1.043
5.217 -0.225 -1.395
1.194 -1.029 4.629
Se Au As K
2 1 1 1
direct
0.000 0.500 0.000
0.500 0.000 0.000
0.000 0.000 0.000
0.000 0.000 0.500
0.500 0.500 0.500
```

=====

No. 11
CePaP2: relaxed, GGA-PBE.

Calculated values
**E_form**: -1.213 eV/atom
**Distance to the lowest polymorph of the same formula**: 205.5 meV per atom

Cell and atoms, written as POSCAR:
```
CePaP2
1.0
3.891 0.000 0.000
1.945 3.370 0.000
1.945 1.123 7.097
P Pa Ce
2 1 1
direct
0.248 0.248 0.257
0.085 0.085 0.746
0.497 0.497 0.510
0.671 0.671 0.987
```

=====

No. 12
ReSb3: relaxed, GGA-PBE.

Calculated values
**ΔE_f (raw)**: 3.68 eV/f.u.
**Distance to the lowest polymorph of the same formula**: 614.5 meV per atom

Cell and atoms, written as POSCAR:
```
ReSb3
1.0
6.373 0.000 0.000
-3.187 5.519 0.000
0.000 0.000 10.244
Re Sb
4 12
direct
0.667 0.333 0.750
0.333 0.667 0.250
0.000 0.000 0.500
0.000 0.000 0.000
0.500 0.000 0.500
0.155 0.845 0.750
0.000 0.500 0.000
0.690 0.845 0.750
0.845 0.690 0.250
0.310 0.155 0.250
0.155 0.310 0.750
0.500 0.500 0.500
0.500 0.000 0.000
0.845 0.155 0.250
0.500 0.500 0.000
0.000 0.500 0.500
```

=====

No. 13
Ca3Al2Ga6Ge: relaxed, GGA-PBE.

Calculated values
**E_form**: -0.169 eV/atom

Cell and atoms, written as POSCAR:
```
Ca3Al2Ga6Ge
1.0
-3.121 -0.351 4.458
5.368 -0.895 0.353
1.554 10.066 1.880
Ga Ca Ge Al
6 3 1 2
direct
0.832 0.168 0.731
0.336 0.168 0.731
0.168 0.832 0.269
0.664 0.832 0.269
0.168 0.336 0.269
0.832 0.664 0.731
0.000 0.000 0.000
0.667 0.333 0.431
0.333 0.667 0.569
0.000 0.000 0.500
0.667 0.333 0.960
0.333 0.667 0.040
```

=====

No. 14
SbCBr2Cl: relaxed, GGA-PBE.

Calculated values
**ΔE_f (raw)**: 4.45 eV/f.u.

Cell and atoms, written as POSCAR:
```
SbCBr2Cl
1.0
4.726 0.000 0.000
0.000 4.877 0.000
0.000 0.000 4.726
Sb Cl Br C
1 1 2 1
direct
0.000 0.500 0.000
0.500 0.500 0.500
0.000 0.000 0.500
0.500 0.000 0.000
0.000 0.000 0.000
```

=====

No. 15
MnTcTeN2: relaxed, GGA-PBE.

Calculated values
**ΔE_f (raw)**: 5.57 eV/f.u.
**Distance to the lowest polymorph of the same formula**: 505.8 meV per atom

Cell and atoms, written as POSCAR:
```
MnTcTeN2
1.0
3.715 0.000 0.000
0.000 3.715 0.000
0.000 0.000 5.580
N Te Mn Tc
2 1 1 1
direct
0.500 0.000 0.000
0.000 0.500 0.000
0.000 0.000 0.500
0.000 0.000 0.000
0.500 0.500 0.500
```

=====

No. 16
ZrTiN: relaxed, GGA-PBE.

Calculated values
**ΔE_f (raw)**: -3.47 eV/f.u.
**Distance to the lowest polymorph of the same formula**: 51.2 meV per atom

Cell and atoms, written as POSCAR:
```
ZrTiN
1.0
-3.294 3.826 -0.374
-0.524 -0.147 3.112
2.289 1.860 -1.131
N Zr Ti
1 1 1
direct
0.019 0.000 0.000
0.749 0.667 0.333
0.232 0.333 0.667
```

=====

No. 17
Sc2CrFe: relaxed, GGA-PBE.

Calculated values
**E_form**: 0.096 eV/atom
**Distance to the lowest polymorph of the same formula**: 23.7 meV per atom

Cell and atoms, written as POSCAR:
```
Sc2CrFe
1.0
5.420 0.000 0.004
2.667 4.718 -0.004
-3.557 -3.194 2.554
Sc Fe Cr
2 1 1
direct
0.742 0.242 0.500
0.024 0.024 0.000
0.272 0.772 0.500
0.462 0.462 0.000
```

=====

No. 18
Ni2PBr: relaxed, GGA-PBE.

Calculated values
**ΔE_f (raw)**: -0.16 eV/f.u.
**Distance to the lowest polymorph of the same formula**: 226.6 meV per atom

Cell and atoms, written as POSCAR:
```
Ni2PBr
1.0
4.322 -2.520 4.747
3.324 1.797 5.770
-5.552 -0.500 -4.060
Ni P Br
2 1 1
direct
0.336 0.836 0.500
0.984 0.984 0.000
0.458 0.458 0.000
0.722 0.222 0.500
```

=====

No. 19
LiMnTe2: relaxed, GGA-PBE.

Calculated values
**ΔE_f (raw)**: -0.37 eV/f.u.

Cell and atoms, written as POSCAR:
```
LiMnTe2
1.0
6.245 0.000 0.000
0.000 6.245 0.000
3.122 3.122 5.739
Mn Li Te
2 2 4
direct
0.750 0.250 0.500
0.000 0.000 0.000
0.250 0.750 0.500
0.500 0.500 0.000
0.672 0.125 0.250
0.375 0.328 0.750
0.875 0.922 0.750
0.078 0.625 0.250
```

=====

No. 20
La3Pm2Cd3: relaxed, GGA-PBE.

Calculated values
**E_form**: -0.246 eV/atom

Cell and atoms, written as POSCAR:
```
La3Pm2Cd3
1.0
-1.230 0.620 -3.628
-3.670 -4.252 0.518
-5.478 9.137 5.493
Pm Cd La
2 3 3
direct
0.735 0.235 0.470
0.265 0.765 0.530
0.000 0.500 0.000
0.879 0.879 0.758
0.121 0.121 0.242
0.377 0.377 0.755
0.623 0.623 0.245
0.500 0.000 0.000
```

=====

No. 21
PuZr2Ga: relaxed, GGA-PBE.

Calculated values
**E_form**: -0.073 eV/atom
**Distance to the lowest polymorph of the same formula**: 155.9 meV per atom

Cell and atoms, written as POSCAR:
```
PuZr2Ga
1.0
-0.484 3.178 0.419
-2.926 1.094 0.867
1.321 0.562 9.806
Pu Zr Ga
1 2 1
direct
0.500 0.500 0.501
0.255 0.255 0.234
0.078 0.078 0.766
0.667 0.667 0.000
```

=====

No. 22
CoSe2Br: relaxed, GGA-PBE.

Calculated values
**ΔE_f (raw)**: 3.24 eV/f.u.
**Distance to the lowest polymorph of the same formula**: 1016.6 meV per atom

Cell and atoms, written as POSCAR:
```
CoSe2Br
1.0
5.059 0.000 0.000
0.000 5.059 0.000
0.000 0.000 3.033
Br Se Co
1 2 1
direct
0.500 0.000 0.500
0.000 0.000 0.000
0.500 0.500 0.000
0.000 0.500 0.500
```

=====

No. 23
La2MgHg3: relaxed, GGA-PBE.

Calculated values
**E_form**: -0.482 eV/atom

Cell and atoms, written as POSCAR:
```
La2MgHg3
1.0
-1.576 -2.287 4.509
4.965 -0.670 -1.715
3.868 10.967 6.914
La Hg Mg
4 6 2
direct
0.000 0.000 0.000
0.333 0.667 0.187
0.667 0.333 0.813
0.000 0.000 0.500
0.667 0.333 0.092
0.000 0.000 0.742
0.333 0.667 0.421
0.667 0.333 0.579
0.000 0.000 0.258
0.333 0.667 0.908
0.333 0.667 0.658
0.667 0.333 0.342
```

=====

No. 24
MgMnCr2: relaxed, GGA-PBE.

Calculated values
**E_form**: 0.506 eV/atom

Cell and atoms, written as POSCAR:
```
MgMnCr2
1.0
-0.294 3.968 2.887
-4.136 -2.041 -1.698
-0.100 -1.464 2.002
Mn Cr Mg
1 2 1
direct
0.000 0.500 0.500
0.500 0.500 0.000
0.000 0.000 0.000
0.500 0.000 0.500
```

=====

No. 25
TiCo2Si: relaxed, GGA-PBE.

Calculated values
**ΔE_f (raw)**: -2.17 eV/f.u.

Cell and atoms, written as POSCAR:
```
TiCo2Si
1.0
-1.080 -0.205 -3.086
2.052 -3.172 -0.507
-2.956 -2.100 1.174
Co Si Ti
2 1 1
direct
0.000 0.000 0.500
0.000 0.500 0.000
0.500 0.500 0.500
0.500 0.000 0.000
```

=====

| no. | raw total energy (eV per formula unit) |
| --- | --- |
| 1 | -12.84 |
| 2 | -31.84 |
| 3 | -77.78 |
| 4 | -26.15 |
| 5 | -48.74 |
| 6 | -57.55 |
| 7 | -28.44 |
| 8 | -25.87 |
| 9 | -59.67 |
| 10 | -15.71 |
| 11 | -31.10 |
| 12 | -21.14 |
| 13 | -38.29 |
| 14 | -14.08 |
| 15 | -33.75 |
| 16 | -28.23 |
| 17 | -30.36 |
| 18 | -18.80 |
| 19 | -17.74 |
| 20 | -29.00 |
| 21 | -34.75 |
| 22 | -12.51 |
| 23 | -15.25 |
| 24 | -27.98 |
| 25 | -29.70 |